(1)
# BaMgNi2 (PBEsol, relaxed)
data_BaMgNi2
_chemical_formula_sum 'Ba1 Mg1 Ni2'
_symmetry_space_group_name_H-M 'P 1'
_symmetry_Int_Tables_number 1
_symmetry_space_group_name_Hall 'P 1'
_cell_length_a 4.853
_cell_length_b 4.853
_cell_length_c 3.267
_cell_angle_alpha 90.00
_cell_angle_beta 90.00
_cell_angle_gamma 90.12
loop_
_atom_site_label
_atom_site_fract_x
_atom_site_fract_y
_atom_site_fract_z
Ba1 0.000 0.000 0.000
Mg1 0.500 0.500 0.000
Ni1 0.000 0.500 0.500
Ni2 0.500 0.000 0.500
# Crystal system: orthorhombic
# Formation enthalpy at 0 K in eV/atom: 0.36
# Calculated volume in Å³ per cell: 77
# SG: Cmmm (65)

=====

(2)
# ZrTcRu2 (PBEsol, relaxed)
data_ZrTcRu2
_chemical_formula_sum 'Zr1 Tc1 Ru2'
_symmetry_space_group_name_H-M 'P 1'
_symmetry_Int_Tables_number 1
_symmetry_space_group_name_Hall 'P 1'
_cell_length_a 4.728
_cell_length_b 4.728
_cell_length_c 4.728
_cell_angle_alpha 129.97
_cell_angle_beta 129.97
_cell_angle_gamma 73.45
loop_
_atom_site_label
_atom_site_fract_x
_atom_site_fract_y
_atom_site_fract_z
Zr1 0.000 0.000 0.000
Tc1 0.500 0.500 0.000
Ru1 0.250 0.750 0.500
Ru2 0.750 0.250 0.500
# Crystal system: tetragonal
# Formation enthalpy at 0 K in eV/atom: -0.01
# Calculated volume in Å³ per cell: 61
# SG: I4/mmm (139)
# Energy above the most stable polymorph in this dataset in meV per atom: 34.6

=====

(3)
# CaSbAs2 (PBEsol, relaxed)
data_CaSbAs2
_chemical_formula_sum 'Ca1 Sb1 As2'
_symmetry_space_group_name_H-M 'P 1'
_symmetry_Int_Tables_number 1
_symmetry_space_group_name_Hall 'P 1'
_cell_length_a 5.544
_cell_length_b 5.544
_cell_length_c 4.259
_cell_angle_alpha 90.00
_cell_angle_beta 90.00
_cell_angle_gamma 126.97
loop_
_atom_site_label
_atom_site_fract_x
_atom_site_fract_y
_atom_site_fract_z
Ca1 0.000 0.000 0.000
Sb1 0.500 0.500 0.500
As1 0.298 0.702 0.000
As2 0.702 0.298 0.000
# Crystal system: orthorhombic
# Calculated volume in Å³ per cell: 105
# SG: Cmmm (65)
# Uncorrected formation energy in eV per atom: -0.37

=====

(4)
# SrAu (PBEsol, relaxed)
data_SrAu
_chemical_formula_sum 'Sr1 Au1'
_symmetry_space_group_name_H-M 'P 1'
_symmetry_Int_Tables_number 1
_symmetry_space_group_name_Hall 'P 1'
_cell_length_a 4.426
_cell_length_b 4.426
_cell_length_c 4.426
_cell_angle_alpha 60.00
_cell_angle_beta 60.00
_cell_angle_gamma 60.00
loop_
_atom_site_label
_atom_site_fract_x
_atom_site_fract_y
_atom_site_fract_z
Sr1 0.000 0.000 0.000
Au1 0.500 0.500 0.500
# Crystal system: cubic
# Formation enthalpy at 0 K in eV/atom: -0.58
# Calculated volume in Å³ per cell: 61
# SG: Fm-3m (225)

=====

(5)
# Ta4SiTe4 (PBEsol, relaxed)
data_Ta4SiTe4
_chemical_formula_sum 'Ta16 Si4 Te16'
_symmetry_space_group_name_H-M 'P 1'
_symmetry_Int_Tables_number 1
_symmetry_space_group_name_Hall 'P 1'
_cell_length_a 10.587
_cell_length_b 18.231
_cell_length_c 4.780
_cell_angle_alpha 90.00
_cell_angle_beta 90.00
_cell_angle_gamma 90.00
loop_
_atom_site_label
_atom_site_fract_x
_atom_site_fract_y
_atom_site_fract_z
Ta1 0.064 0.119 0.000
Ta2 0.101 0.890 0.500
Ta3 0.191 0.059 0.500
Ta4 0.207 0.963 0.000
Ta5 0.293 0.463 0.000
Ta6 0.309 0.559 0.500
Ta7 0.399 0.390 0.500
Ta8 0.436 0.619 0.000
Ta9 0.564 0.381 0.000
Ta10 0.601 0.610 0.500
Ta11 0.691 0.441 0.500
Ta12 0.707 0.537 0.000
Ta13 0.793 0.037 0.000
Ta14 0.809 0.941 0.500
Ta15 0.899 0.110 0.500
Ta16 0.936 0.881 0.000
Si1 0.000 0.000 0.250
Si2 0.000 0.000 0.750
Si3 0.500 0.500 0.250
Si4 0.500 0.500 0.750
Te1 0.109 0.206 0.500
Te2 0.143 0.436 0.500
Te3 0.169 0.601 0.000
Te4 0.172 0.809 0.000
Te5 0.328 0.309 0.000
Te6 0.331 0.101 0.000
Te7 0.357 0.936 0.500
Te8 0.391 0.706 0.500
Te9 0.609 0.294 0.500
Te10 0.643 0.064 0.500
Te11 0.669 0.899 0.000
Te12 0.672 0.691 0.000
Te13 0.828 0.191 0.000
Te14 0.831 0.399 0.000
Te15 0.857 0.564 0.500
Te16 0.891 0.794 0.500
# Crystal system: orthorhombic
# Calculated volume in Å³ per cell: 923
# SG: Pbam (55)
# Uncorrected formation energy in eV per atom: -0.52

=====

(6)
# Sc2HgSb2 (PBEsol, relaxed)
data_Sc2HgSb2
_chemical_formula_sum 'Sc2 Hg1 Sb2'
_symmetry_space_group_name_H-M 'P 1'
_symmetry_Int_Tables_number 1
_symmetry_space_group_name_Hall 'P 1'
_cell_length_a 7.838
_cell_length_b 7.838
_cell_length_c 7.838
_cell_angle_alpha 149.43
_cell_angle_beta 149.43
_cell_angle_gamma 43.78
loop_
_atom_site_label
_atom_site_fract_x
_atom_site_fract_y
_atom_site_fract_z
Sc1 0.102 0.102 0.000
Sc2 0.898 0.898 0.000
Hg1 0.500 0.500 0.000
Sb1 0.250 0.750 0.500
Sb2 0.750 0.250 0.500
# Crystal system: tetragonal
# Calculated volume in Å³ per cell: 124
# SG: I4/mmm (139)
# Uncorrected formation energy in eV per atom: -0.32

=====

(7)
# DyGe2Pt2 (PBEsol, relaxed)
data_DyGe2Pt2
_chemical_formula_sum 'Dy1 Ge2 Pt2'
_symmetry_space_group_name_H-M 'P 1'
_symmetry_Int_Tables_number 1
_symmetry_space_group_name_Hall 'P 1'
_cell_length_a 5.775
_cell_length_b 5.775
_cell_length_c 5.775
_cell_angle_alpha 136.38
_cell_angle_beta 136.38
_cell_angle_gamma 63.39
loop_
_atom_site_label
_atom_site_fract_x
_atom_site_fract_y
_atom_site_fract_z
Dy1 0.000 0.000 0.000
Ge1 0.378 0.378 0.000
Ge2 0.622 0.622 0.000
Pt1 0.250 0.750 0.500
Pt2 0.750 0.250 0.500
# Crystal system: tetragonal
# Formation enthalpy at 0 K in eV/atom: -0.82
# Calculated volume in Å³ per cell: 90
# SG: I4/mmm (139)

=====

(8)
# TiNb2V (PBEsol, relaxed)
data_TiNb2V
_chemical_formula_sum 'Ti1 Nb2 V1'
_symmetry_space_group_name_H-M 'P 1'
_symmetry_Int_Tables_number 1
_symmetry_space_group_name_Hall 'P 1'
_cell_length_a 4.496
_cell_length_b 4.496
_cell_length_c 4.496
_cell_angle_alpha 60.00
_cell_angle_beta 60.00
_cell_angle_gamma 60.00
loop_
_atom_site_label
_atom_site_fract_x
_atom_site_fract_y
_atom_site_fract_z
Ti1 0.000 0.000 0.000
Nb1 0.250 0.250 0.250
Nb2 0.750 0.750 0.750
V1 0.500 0.500 0.500
# Crystal system: cubic
# Formation enthalpy at 0 K in eV/atom: 0.07
# Calculated volume in Å³ per cell: 64
# SG: Fm-3m (225)

=====

(9)
# Ca2MnMo (PBEsol, relaxed)
data_Ca2MnMo
_chemical_formula_sum 'Ca2 Mn1 Mo1'
_symmetry_space_group_name_H-M 'P 1'
_symmetry_Int_Tables_number 1
_symmetry_space_group_name_Hall 'P 1'
_cell_length_a 5.417
_cell_length_b 5.417
_cell_length_c 2.981
_cell_angle_alpha 90.00
_cell_angle_beta 90.00
_cell_angle_gamma 90.00
loop_
_atom_site_label
_atom_site_fract_x
_atom_site_fract_y
_atom_site_fract_z
Ca1 0.000 0.500 0.000
Ca2 0.500 0.000 0.000
Mn1 0.000 0.000 0.500
Mo1 0.500 0.500 0.500
# Crystal system: tetragonal
# Formation enthalpy at 0 K in eV/atom: 1.06
# Calculated volume in Å³ per cell: 87
# SG: P4/mmm (123)

=====

(10)
# TeRu2Pb (PBEsol, relaxed)
data_TeRu2Pb
_chemical_formula_sum 'Te1 Ru2 Pb1'
_symmetry_space_group_name_H-M 'P 1'
_symmetry_Int_Tables_number 1
_symmetry_space_group_name_Hall 'P 1'
_cell_length_a 10.243
_cell_length_b 10.243
_cell_length_c 10.243
_cell_angle_alpha 17.10
_cell_angle_beta 17.10
_cell_angle_gamma 17.10
loop_
_atom_site_label
_atom_site_fract_x
_atom_site_fract_y
_atom_site_fract_z
Te1 0.000 0.000 0.000
Ru1 0.264 0.264 0.264
Ru2 0.534 0.534 0.534
Pb1 0.789 0.789 0.789
# Crystal system: trigonal
# Calculated volume in Å³ per cell: 81
# SG: R3m (160)
# Uncorrected formation energy in eV per atom: 0.51
# Energy above the most stable polymorph in this dataset in meV per atom: 130.0

=====

(11)
# LiLaTa2Pt (PBEsol, relaxed)
data_LiLaTa2Pt
_chemical_formula_sum 'Li1 La1 Ta2 Pt1'
_symmetry_space_group_name_H-M 'P 1'
_symmetry_Int_Tables_number 1
_symmetry_space_group_name_Hall 'P 1'
_cell_length_a 4.921
_cell_length_b 4.921
_cell_length_c 5.620
_cell_angle_alpha 90.00
_cell_angle_beta 90.00
_cell_angle_gamma 90.00
loop_
_atom_site_label
_atom_site_fract_x
_atom_site_fract_y
_atom_site_fract_z
Li1 0.000 0.000 0.000
La1 0.500 0.500 0.000
Ta1 0.000 0.500 0.500
Ta2 0.500 0.000 0.500
Pt1 0.500 0.500 0.500
# Crystal system: tetragonal
# Formation enthalpy at 0 K in eV/atom: 0.84
# Calculated volume in Å³ per cell: 136
# SG: P4/mmm (123)

=====

(12)
# SrYSb2 (PBEsol, relaxed)
data_SrYSb2
_chemical_formula_sum 'Sr1 Y1 Sb2'
_symmetry_space_group_name_H-M 'P 1'
_symmetry_Int_Tables_number 1
_symmetry_space_group_name_Hall 'P 1'
_cell_length_a 5.317
_cell_length_b 5.317
_cell_length_c 4.060
_cell_angle_alpha 90.00
_cell_angle_beta 90.00
_cell_angle_gamma 90.00
loop_
_atom_site_label
_atom_site_fract_x
_atom_site_fract_y
_atom_site_fract_z
Sr1 0.000 0.000 0.000
Y1 0.500 0.500 0.000
Sb1 0.000 0.500 0.500
Sb2 0.500 0.000 0.500
# Crystal system: tetragonal
# Calculated volume in Å³ per cell: 115
# SG: P4/mmm (123)
# Uncorrected formation energy in eV per atom: -0.80

=====

(13)
# Ba2HfHgF (PBEsol, relaxed)
data_Ba2HfHgF
_chemical_formula_sum 'Ba2 Hf1 Hg1 F1'
_symmetry_space_group_name_H-M 'P 1'
_symmetry_Int_Tables_number 1
_symmetry_space_group_name_Hall 'P 1'
_cell_length_a 6.564
_cell_length_b 6.564
_cell_length_c 4.051
_cell_angle_alpha 90.00
_cell_angle_beta 90.00
_cell_angle_gamma 90.00
loop_
_atom_site_label
_atom_site_fract_x
_atom_site_fract_y
_atom_site_fract_z
Ba1 0.000 0.500 0.000
Ba2 0.500 0.000 0.000
Hf1 0.000 0.000 0.000
Hg1 0.500 0.500 0.500
F1 0.000 0.000 0.500
# Crystal system: tetragonal
# Calculated volume in Å³ per cell: 175
# SG: P4/mmm (123)
# Uncorrected formation energy in eV per atom: -0.42

=====

(14)
# Cd2InHg (PBEsol, relaxed)
data_Cd2InHg
_chemical_formula_sum 'Cd2 In1 Hg1'
_symmetry_space_group_name_H-M 'P 1'
_symmetry_Int_Tables_number 1
_symmetry_space_group_name_Hall 'P 1'
_cell_length_a 5.063
_cell_length_b 5.063
_cell_length_c 5.063
_cell_angle_alpha 60.00
_cell_angle_beta 60.00
_cell_angle_gamma 60.00
loop_
_atom_site_label
_atom_site_fract_x
_atom_site_fract_y
_atom_site_fract_z
Cd1 0.000 0.000 0.000
Cd2 0.250 0.250 0.250
In1 0.750 0.750 0.750
Hg1 0.500 0.500 0.500
# Crystal system: cubic
# Formation enthalpy at 0 K in eV/atom: 0.05
# Calculated volume in Å³ per cell: 92
# SG: F-43m (216)
# Energy above the most stable polymorph in this dataset in meV per atom: 43.4

=====

(15)
# BaLaBi3 (PBEsol, relaxed)
data_BaLaBi3
_chemical_formula_sum 'Ba1 La1 Bi3'
_symmetry_space_group_name_H-M 'P 1'
_symmetry_Int_Tables_number 1
_symmetry_space_group_name_Hall 'P 1'
_cell_length_a 6.001
_cell_length_b 6.001
_cell_length_c 6.001
_cell_angle_alpha 90.00
_cell_angle_beta 90.00
_cell_angle_gamma 90.00
loop_
_atom_site_label
_atom_site_fract_x
_atom_site_fract_y
_atom_site_fract_z
Ba1 0.000 0.000 0.000
La1 0.500 0.500 0.500
Bi1 0.000 0.000 0.500
Bi2 0.000 0.500 0.000
Bi3 0.500 0.000 0.000
# Crystal system: cubic
# Formation enthalpy at 0 K in eV/atom: 0.41
# Calculated volume in Å³ per cell: 216
# SG: Pm-3m (221)

=====

(16)
# Mg3Au (PBEsol, relaxed)
data_Mg3Au
_chemical_formula_sum 'Mg3 Au1'
_symmetry_space_group_name_H-M 'P 1'
_symmetry_Int_Tables_number 1
_symmetry_space_group_name_Hall 'P 1'
_cell_length_a 3.441
_cell_length_b 3.561
_cell_length_c 6.300
_cell_angle_alpha 90.00
_cell_angle_beta 90.00
_cell_angle_gamma 90.00
loop_
_atom_site_label
_atom_site_fract_x
_atom_site_fract_y
_atom_site_fract_z
Mg1 0.000 0.000 0.000
Mg2 0.500 0.500 0.275
Mg3 0.500 0.500 0.725
Au1 0.000 0.000 0.500
# Crystal system: orthorhombic
# Formation enthalpy at 0 K in eV/atom: -0.31
# Calculated volume in Å³ per cell: 77
# SG: Pmmm (47)
# Energy above the most stable polymorph in this dataset in meV per atom: 106.5

=====

(17)
# LaMn2Fe (PBEsol, relaxed)
data_LaMn2Fe
_chemical_formula_sum 'La1 Mn2 Fe1'
_symmetry_space_group_name_H-M 'P 1'
_symmetry_Int_Tables_number 1
_symmetry_space_group_name_Hall 'P 1'
_cell_length_a 5.390
_cell_length_b 5.390
_cell_length_c 5.390
_cell_angle_alpha 144.71
_cell_angle_beta 131.32
_cell_angle_gamma 61.54
loop_
_atom_site_label
_atom_site_fract_x
_atom_site_fract_y
_atom_site_fract_z
La1 0.000 0.000 0.000
Mn1 0.278 0.778 0.500
Mn2 0.722 0.222 0.500
Fe1 0.500 0.500 0.000
# Crystal system: orthorhombic
# Formation enthalpy at 0 K in eV/atom: 0.58
# Calculated volume in Å³ per cell: 67
# SG: Immm (71)
# Energy above the most stable polymorph in this dataset in meV per atom: 0.0

=====

(18)
# Ba2Tb2Ti2Cu2O11 (PBEsol, relaxed)
data_Ba2Tb2Ti2Cu2O11
_chemical_formula_sum 'Ba2 Tb2 Ti2 Cu2 O11'
_symmetry_space_group_name_H-M 'P 1'
_symmetry_Int_Tables_number 1
_symmetry_space_group_name_Hall 'P 1'
_cell_length_a 3.859
_cell_length_b 3.859
_cell_length_c 15.595
_cell_angle_alpha 90.00
_cell_angle_beta 90.00
_cell_angle_gamma 90.00
loop_
_atom_site_label
_atom_site_fract_x
_atom_site_fract_y
_atom_site_fract_z
Ba1 0.000 0.000 0.231
Ba2 0.000 0.000 0.769
Tb1 0.000 0.000 0.000
Tb2 0.000 0.000 0.500
Ti1 0.500 0.500 0.375
Ti2 0.500 0.500 0.625
Cu1 0.500 0.500 0.101
Cu2 0.500 0.500 0.899
O1 0.000 0.500 0.091
O2 0.000 0.500 0.390
O3 0.000 0.500 0.610
O4 0.000 0.500 0.909
O5 0.500 0.000 0.091
O6 0.500 0.000 0.390
O7 0.500 0.000 0.610
O8 0.500 0.000 0.909
O9 0.500 0.500 0.255
O10 0.500 0.500 0.500
O11 0.500 0.500 0.745
# Crystal system: tetragonal
# Calculated volume in Å³ per cell: 232
# SG: P4/mmm (123)
# Uncorrected formation energy in eV per atom: -2.68

=====

(19)
# ZnTe2N2 (PBEsol, relaxed)
data_ZnTe2N2
_chemical_formula_sum 'Zn1 Te2 N2'
_symmetry_space_group_name_H-M 'P 1'
_symmetry_Int_Tables_number 1
_symmetry_space_group_name_Hall 'P 1'
_cell_length_a 4.116
_cell_length_b 4.116
_cell_length_c 5.919
_cell_angle_alpha 90.00
_cell_angle_beta 90.00
_cell_angle_gamma 90.00
loop_
_atom_site_label
_atom_site_fract_x
_atom_site_fract_y
_atom_site_fract_z
Zn1 0.000 0.000 0.000
Te1 0.000 0.000 0.500
Te2 0.500 0.500 0.500
N1 0.000 0.500 0.000
N2 0.500 0.000 0.000
# Crystal system: tetragonal
# Calculated volume in Å³ per cell: 100
# SG: P4/mmm (123)
# Uncorrected formation energy in eV per atom: 1.47

=====

(20)
# BaWO4 (PBEsol, relaxed)
data_BaWO4
_chemical_formula_sum 'Ba2 W2 O8'
_symmetry_space_group_name_H-M 'P 1'
_symmetry_Int_Tables_number 1
_symmetry_space_group_name_Hall 'P 1'
_cell_length_a 6.707
_cell_length_b 6.707
_cell_length_c 6.707
_cell_angle_alpha 106.44
_cell_angle_beta 106.44
_cell_angle_gamma 115.72
loop_
_atom_site_label
_atom_site_fract_x
_atom_site_fract_y
_atom_site_fract_z
Ba1 0.375 0.625 0.750
Ba2 0.625 0.375 0.250
W1 0.125 0.875 0.250
W2 0.875 0.125 0.750
O1 0.147 0.721 0.426
O2 0.205 0.279 0.926
O3 0.279 0.205 0.426
O4 0.279 0.853 0.074
O5 0.721 0.147 0.926
O6 0.721 0.795 0.574
O7 0.795 0.721 0.074
O8 0.853 0.279 0.574
# Crystal system: tetragonal
# Calculated volume in Å³ per cell: 230
# SG: I4_1/amd (141)
# Uncorrected formation energy in eV per atom: -2.57
# Energy above the most stable polymorph in this dataset in meV per atom: 32.3